Entry from Alexandria: crystalline SnAsPt3 at its relaxed geometry (PBE).

Computed properties:
crystal system	cubic
ρ	10.8	Mg/m³
energy of formation from the pure elements	93.8	kJ per mole of atoms
density of states at the Fermi level	2.3	states/eV per cell

Unit cell a=4.9261 b=4.9261 c=4.9261 alpha=90.00 beta=90.00 gamma=90.00
Last column: nearest neighbours and their distance in Å.
Element x y z (fractional)
Sn (0.0000, 0.0000, 0.0000)  6 Pt 2.46
As (0.5000, 0.5000, 0.5000)  12 Pt 3.48
Pt (0.0000, 0.0000, 0.5000)  2 Sn 2.46
Pt (0.0000, 0.5000, 0.0000)  2 Sn 2.46
Pt (0.5000, 0.0000, 0.0000)  2 Sn 2.46

***

Entry from Alexandria: crystalline Ti2Al5Rh3 at its relaxed geometry (PBE).

Computed properties:
crystal system	monoclinic
ρ	6.0	Mg/m³
energy of formation from the pure elements	-67.4	kJ per mole of atoms
density of states at the Fermi level	14.7	states/eV per cell

Unit cell a=7.6402 b=7.6402 c=5.4165 alpha=93.99 beta=93.99 gamma=106.91
Last column: nearest neighbours and their distance in Å.
Element x y z (fractional)
Ti (0.1215, 0.6361, 0.8883)  7 Al 2.74-3.04, 2 Ti 2.77-2.81, 5 Rh 2.78-3.05
Ti (0.3639, 0.8785, 0.6117)  7 Al 2.74-3.04, 2 Ti 2.77-2.81, 5 Rh 2.78-3.05
Ti (0.6361, 0.1215, 0.3883)  7 Al 2.74-3.04, 2 Ti 2.77-2.81, 5 Rh 2.78-3.05
Ti (0.8785, 0.3639, 0.1117)  7 Al 2.74-3.04, 2 Ti 2.77-2.81, 5 Rh 2.78-3.05
Al (0.0312, 0.9688, 0.7500)  4 Rh 2.56-2.58, 4 Al 2.77-2.81
Al (0.2177, 0.5255, 0.3960)  4 Rh 2.52-2.78, 2 Al 2.67-2.68, 2 Ti 2.74-2.82
Al (0.2223, 0.3107, 0.9876)  4 Rh 2.54-2.70, 3 Al 2.67-2.77
Al (0.3107, 0.2223, 0.4876)  4 Rh 2.54-2.70, 3 Al 2.67-2.77
Al (0.4745, 0.7823, 0.1040)  4 Rh 2.52-2.78, 2 Al 2.67-2.68, 2 Ti 2.74-2.82
Al (0.5255, 0.2177, 0.8960)  4 Rh 2.52-2.78, 2 Al 2.67-2.68, 2 Ti 2.74-2.82
Al (0.6893, 0.7777, 0.5124)  4 Rh 2.54-2.70, 3 Al 2.67-2.77
Al (0.7777, 0.6893, 0.0124)  4 Rh 2.54-2.70, 3 Al 2.67-2.77
Al (0.7823, 0.4745, 0.6040)  4 Rh 2.52-2.78, 2 Al 2.67-2.68, 2 Ti 2.74-2.82
Al (0.9688, 0.0312, 0.2500)  4 Rh 2.56-2.58, 4 Al 2.77-2.81
Rh (0.0081, 0.7269, 0.3889)  6 Al 2.52-2.70, 1 Ti 2.78
Rh (0.2731, 0.9919, 0.1111)  6 Al 2.52-2.70, 1 Ti 2.78
Rh (0.4629, 0.5371, 0.7500)  8 Al 2.56-2.78, 2 Rh 2.86
Rh (0.5371, 0.4629, 0.2500)  8 Al 2.56-2.78, 2 Rh 2.86
Rh (0.7269, 0.0081, 0.8889)  6 Al 2.52-2.70, 1 Ti 2.78
Rh (0.9919, 0.2731, 0.6111)  6 Al 2.52-2.70, 1 Ti 2.78

***

Entry from Alexandria: crystalline Li5CuCl6 at its relaxed geometry (PBE).

Computed properties:
formation energy without anion corrections	-1.54	eV/atom
crystal system	monoclinic
ρ	2.5	Mg/m³
density of states at the Fermi level	0.0	states/eV per cell

Unit cell a=6.2871 b=6.2871 c=6.3444 alpha=100.16 beta=100.16 gamma=119.39
Last column: nearest neighbours and their distance in Å.
Element x y z (fractional)
Li (0.0000, 0.0000, 0.0000)  6 Cl 2.55-2.57
Li (0.1661, 0.8339, 0.5000)  6 Cl 2.55-2.62
Li (0.3362, 0.6638, 0.0000)  6 Cl 2.54-2.60
Li (0.6638, 0.3362, 0.0000)  6 Cl 2.54-2.60
Li (0.8339, 0.1661, 0.5000)  6 Cl 2.55-2.62
Cu (0.5000, 0.5000, 0.5000)  6 Cl 2.54-2.66
Cl (0.0882, 0.4201, 0.2523)  1 Cu 2.54, 5 Li 2.55-2.62
Cl (0.2440, 0.2440, 0.7548)  5 Li 2.54-2.55, 1 Cu 2.66
Cl (0.4201, 0.0882, 0.2523)  1 Cu 2.54, 5 Li 2.55-2.62
Cl (0.5799, 0.9118, 0.7477)  1 Cu 2.54, 5 Li 2.55-2.62
Cl (0.7560, 0.7560, 0.2452)  5 Li 2.54-2.55, 1 Cu 2.66
Cl (0.9118, 0.5799, 0.7477)  1 Cu 2.54, 5 Li 2.55-2.62

***

Entry from Alexandria: crystalline Cu2GeS3 at its relaxed geometry (PBE).

Computed properties:
formation energy without anion corrections	-0.32	eV/atom
crystal system	orthorhombic
ρ	4.3	Mg/m³
density of states at the Fermi level	0.1	states/eV per cell

Unit cell a=6.4825 b=6.4825 c=6.4825 alpha=145.85 beta=60.50 gamma=131.68
Last column: nearest neighbours and their distance in Å.
Element x y z (fractional)
Cu (0.1671, 0.0000, 0.1671)  4 S 2.29-2.33
Cu (0.8329, 0.0000, 0.8329)  4 S 2.29-2.33
Ge (0.4689, 0.9689, 0.5000)  4 S 2.25-2.39
S (0.0710, 0.7394, 0.3316)  1 Ge 2.25, 3 Cu 2.29-2.30
S (0.4078, 0.7394, 0.6684)  1 Ge 2.25, 3 Cu 2.29-2.30
S (0.7397, 0.7397, 0.0000)  2 Cu 2.33, 2 Ge 2.39

***

Entry from Alexandria: crystalline Si2Au at its relaxed geometry (PBE).

Computed properties:
formation energy without anion corrections	0.14	eV/atom
crystal system	monoclinic
ρ	7.6	Mg/m³
density of states at the Fermi level	1.0	states/eV per cell

Unit cell a=6.0504 b=6.0504 c=7.7143 alpha=116.78 beta=116.78 gamma=26.35
Last column: nearest neighbours and their distance in Å.
Element x y z (fractional)
Si (0.0194, 0.0194, 0.1645)  3 Si 2.36-2.50, 2 Au 2.56
Si (0.2827, 0.2827, 0.6549)  6 Si 2.50-2.76, 2 Au 2.62
Si (0.7173, 0.7173, 0.3451)  6 Si 2.50-2.76, 2 Au 2.62
Si (0.9806, 0.9806, 0.8355)  3 Si 2.36-2.50, 2 Au 2.56
Au (0.3604, 0.3604, 0.2313)  4 Si 2.56-2.62, 2 Au 2.76
Au (0.6396, 0.6396, 0.7687)  4 Si 2.56-2.62, 2 Au 2.76

***

Entry from Alexandria: crystalline LiVAs at its relaxed geometry (PBE).

Computed properties:
crystal system	tetragonal
ρ	4.7	Mg/m³
energy of formation from the pure elements	-55.6	kJ per mole of atoms
density of states at the Fermi level	3.2	states/eV per cell

Unit cell a=3.7303 b=3.7303 c=6.7575 alpha=90.00 beta=90.00 gamma=90.00
Last column: nearest neighbours and their distance in Å.
Element x y z (fractional)
Li (0.2500, 0.2500, 0.1514)  5 As 2.68-2.71
Li (0.7500, 0.7500, 0.8486)  5 As 2.68-2.71
V (0.2500, 0.7500, 0.5000)  4 As 2.54, 4 V 2.64
V (0.7500, 0.2500, 0.5000)  4 As 2.54, 4 V 2.64
As (0.2500, 0.2500, 0.7546)  4 V 2.54, 5 Li 2.68-2.71
As (0.7500, 0.7500, 0.2454)  4 V 2.54, 5 Li 2.68-2.71

***

Entry from Alexandria: crystalline Gd2GaAg at its relaxed geometry (PBE).

Computed properties:
crystal system	cubic
ρ	8.4	Mg/m³
energy of formation from the pure elements	-43.8	kJ per mole of atoms
density of states at the Fermi level	4.1	states/eV per cell

Unit cell a=5.1679 b=5.1679 c=5.1679 alpha=60.00 beta=60.00 gamma=60.00
Last column: nearest neighbours and their distance in Å.
Element x y z (fractional)
Gd (0.2500, 0.2500, 0.2500)  4 Ag 3.16, 4 Ga 3.16
Gd (0.7500, 0.7500, 0.7500)  4 Ga 3.16, 4 Ag 3.16
Ga (0.0000, 0.0000, 0.0000)  8 Gd 3.16
Ag (0.5000, 0.5000, 0.5000)  8 Gd 3.16

***

Entry from Alexandria: crystalline NaCaInSn at its relaxed geometry (PBE).

Computed properties:
crystal system	cubic
ρ	4.4	Mg/m³
energy of formation from the pure elements	-32.6	kJ per mole of atoms
density of states at the Fermi level	1.2	states/eV per cell

Unit cell a=5.3956 b=5.3956 c=5.3956 alpha=60.00 beta=60.00 gamma=60.00
Last column: nearest neighbours and their distance in Å.
Element x y z (fractional)
Na (0.0000, 0.0000, 0.0000)  4 In 3.30, 4 Sn 3.30
Ca (0.5000, 0.5000, 0.5000)  4 In 3.30, 4 Sn 3.30
In (0.7500, 0.7500, 0.7500)  4 Na 3.30, 4 Ca 3.30
Sn (0.2500, 0.2500, 0.2500)  4 Ca 3.30, 4 Na 3.30